NaIn2Hg5 | PBE | relaxed

a = 6.5583 Å, b = 6.5583 Å, c = 6.5583 Å
α = 103.92°, β = 103.92°, γ = 121.25°
Last column: nearest neighbours and their distance in Å.
Atoms (fractional coordinates):
Na 0.0000 0.0000 0.0000  10 Hg 3.22-3.28
In 0.0000 0.5000 0.5000  2 In 3.22, 8 Hg 3.28
In 0.5000 0.0000 0.5000  2 In 3.22, 8 Hg 3.28
Hg 0.0000 0.0000 0.5000  4 Hg 3.22-3.28, 4 In 3.28, 2 Na 3.28
Hg 0.0000 0.5000 0.0000  4 Hg 3.22-3.28, 4 In 3.28, 2 Na 3.28
Hg 0.5000 0.0000 0.0000  4 Hg 3.22-3.28, 4 In 3.28, 2 Na 3.28
Hg 0.5000 0.5000 0.0000  2 Na 3.22, 8 Hg 3.28
Hg 0.5000 0.5000 0.5000  4 Hg 3.22-3.28, 4 In 3.28, 2 Na 3.28

Summary:
- Crystal system: tetragonal
- ρ: 9.9 g/cm3
- N(E_F): 1.74 states/eV/f.u.
- Calculated formation energy: -0.084 eV/atom
- Space-group type: I4/mmm, No. 139
- Energy above the lowest structure with this stoichiometry: 0.00 eV/f.u.